(1)
Below is an optimized crystal structure of KMg2Cu2P2, with properties calculated at the GGA-PBE level.

Geometry as extended XYZ:
```
7
Lattice="2.1052 1.2155 8.7844 -2.1052 1.2155 8.7844 0.0000 -2.4309 8.7844" Properties=species:S:1:pos:R:3 pbc="T T T"
K 0.0000 0.0000 0.0000
Mg 0.0000 0.0000 3.6418
Mg 0.0000 0.0000 22.7115
Cu 0.0000 0.0000 11.6831
Cu 0.0000 0.0000 14.6703
P 0.0000 0.0000 6.3749
P 0.0000 0.0000 19.9784
```

Properties
- Space group: R-3m, No. 166
- Formation energy: -309 meV/atom
- E_tot: -3.637 eV per atom



(2)
Below is an optimized crystal structure of KMgCu2P2, with properties calculated at the GGA-PBE level.

Geometry as extended XYZ:
```
6
Lattice="3.9187 0.0000 0.0000 -1.9594 3.3937 0.0000 0.0000 0.0000 8.7218" Properties=species:S:1:pos:R:3 pbc="T T T"
K 0.0000 0.0000 0.0000
Mg 0.0000 0.0000 4.3609
Cu 0.0000 2.2625 6.0516
Cu 1.9594 1.1312 2.6702
P 0.0000 2.2625 2.5406
P 1.9594 1.1312 6.1812
```

Properties
- Space group: P-3m1, No. 164
- Formation energy: -365 meV/atom
- E_tot: -3.982 eV per atom



(3)
Below is an optimized crystal structure of KMgCu2S, with properties calculated at the GGA-PBE level.

Geometry as extended XYZ:
```
5
Lattice="4.7284 0.0000 0.0000 0.0000 4.7284 0.0000 0.0000 0.0000 6.1508" Properties=species:S:1:pos:R:3 pbc="T T T"
K 0.0000 0.0000 0.0000
Mg 0.0000 0.0000 3.0754
Cu 0.0000 2.3642 3.0754
Cu 2.3642 0.0000 3.0754
S 2.3642 2.3642 0.0000
```

Properties
- Raw formation energy: 692 meV per atom
- Space group: P4/mmm, No. 123
- E_tot: -2.310 eV per atom



(4)
Below is an optimized crystal structure of KMg2CuS, with properties calculated at the GGA-PBE level.

Geometry as extended XYZ:
```
5
Lattice="6.0361 0.0000 0.0000 0.0000 6.0361 0.0000 0.0000 0.0000 5.0591" Properties=species:S:1:pos:R:3 pbc="T T T"
K 0.0000 0.0000 0.0000
Mg 0.0000 3.0181 0.0000
Mg 3.0181 0.0000 0.0000
Cu 0.0000 0.0000 2.5295
S 3.0181 3.0181 2.5295
```

Properties
- Raw formation energy: 1320 meV per atom
- Space group: P4/mmm, No. 123
- E_tot: -1.182 eV per atom



(5)
Below is an optimized crystal structure of K2MgCuSn, with properties calculated at the GGA-PBE level.

Geometry as extended XYZ:
```
5
Lattice="6.5541 0.0000 0.0000 0.0000 6.5541 0.0000 0.0000 0.0000 4.7757" Properties=species:S:1:pos:R:3 pbc="T T T"
K 0.0000 3.2771 0.0000
K 3.2771 0.0000 0.0000
Mg 0.0000 0.0000 0.0000
Cu 0.0000 0.0000 2.3879
Sn 3.2771 3.2771 2.3879
```

Properties
- Space group: P4/mmm, No. 123
- Formation energy: 531 meV/atom
- E_tot: -1.847 eV per atom



(6)
Below is an optimized crystal structure of KSr2MgCu, with properties calculated at the GGA-PBE level.

Geometry as extended XYZ:
```
5
Lattice="6.1391 0.0000 0.0000 0.0000 6.1391 0.0000 0.0000 0.0000 5.3043" Properties=species:S:1:pos:R:3 pbc="T T T"
K 0.0000 0.0000 0.0000
Sr 0.0000 3.0696 2.6521
Sr 3.0696 0.0000 2.6521
Mg 3.0696 3.0696 0.0000
Cu 3.0696 3.0696 2.6521
```

Properties
- Space group: P4/mmm, No. 123
- Formation energy: 69 meV/atom
- E_tot: -1.961 eV per atom



(7)
Below is an optimized crystal structure of KSrMg2Cu, with properties calculated at the GGA-PBE level.

Geometry as extended XYZ:
```
5
Lattice="5.3370 0.0000 0.0000 0.0000 5.3370 0.0000 0.0000 0.0000 5.7726" Properties=species:S:1:pos:R:3 pbc="T T T"
K 0.0000 0.0000 0.0000
Sr 2.6685 2.6685 0.0000
Mg 0.0000 2.6685 2.8863
Mg 2.6685 0.0000 2.8863
Cu 2.6685 2.6685 2.8863
```

Properties
- Space group: P4/mmm, No. 123
- Formation energy: 112 meV/atom
- E_tot: -1.901 eV per atom



(8)
Below is an optimized crystal structure of KMg2TiCu, with properties calculated at the GGA-PBE level.

Geometry as extended XYZ:
```
5
Lattice="5.5337 0.0000 0.0000 0.0000 5.5337 0.0000 0.0000 0.0000 6.0296" Properties=species:S:1:pos:R:3 pbc="T T T"
K 0.0000 0.0000 0.0000
Mg 0.0000 2.7669 3.0148
Mg 2.7669 0.0000 3.0148
Ti 0.0000 0.0000 3.0148
Cu 2.7669 2.7669 0.0000
```

Properties
- Space group: P4/mmm, No. 123
- Formation energy: 1280 meV/atom
- E_tot: -1.975 eV per atom



(9)
Below is an optimized crystal structure of KMg2TlCu, with properties calculated at the GGA-PBE level.

Geometry as extended XYZ:
```
5
Lattice="5.1520 0.0000 0.0000 0.0000 5.1520 0.0000 0.0000 0.0000 5.3367" Properties=species:S:1:pos:R:3 pbc="T T T"
K 0.0000 0.0000 0.0000
Mg 0.0000 2.5760 2.6683
Mg 2.5760 0.0000 2.6683
Tl 2.5760 2.5760 0.0000
Cu 2.5760 2.5760 2.6683
```

Properties
- Space group: P4/mmm, No. 123
- Formation energy: 90 meV/atom
- E_tot: -2.060 eV per atom



(10)
Below is an optimized crystal structure of KMgTl2Cu, with properties calculated at the GGA-PBE level.

Geometry as extended XYZ:
```
5
Lattice="6.1882 0.0000 0.0000 0.0000 6.1882 0.0000 0.0000 0.0000 5.2651" Properties=species:S:1:pos:R:3 pbc="T T T"
K 0.0000 0.0000 0.0000
Mg 3.0941 3.0941 2.6326
Tl 0.0000 3.0941 0.0000
Tl 3.0941 0.0000 0.0000
Cu 0.0000 0.0000 2.6326
```

Properties
- Space group: P4/mmm, No. 123
- Formation energy: 906 meV/atom
- Distance to the lowest polymorph of the same formula: 0.8268 eV/atom
- E_tot: -1.398 eV per atom



(11)
Below is an optimized crystal structure of KMgTl2Cu, with properties calculated at the GGA-PBE level.

Geometry as extended XYZ:
```
5
Lattice="5.3493 0.0000 0.0000 0.0000 5.3493 0.0000 0.0000 0.0000 5.1604" Properties=species:S:1:pos:R:3 pbc="T T T"
K 0.0000 0.0000 0.0000
Mg 2.6746 2.6746 0.0000
Tl 0.0000 2.6746 2.5802
Tl 2.6746 0.0000 2.5802
Cu 2.6746 2.6746 2.5802
```

Properties
- Space group: P4/mmm, No. 123
- Formation energy: 79 meV/atom
- Distance to the lowest polymorph of the same formula: 0.0000 eV/atom
- E_tot: -2.225 eV per atom



(12)
Below is an optimized crystal structure of KMgZn2Cu, with properties calculated at the GGA-PBE level.

Geometry as extended XYZ:
```
5
Lattice="4.8525 0.0000 0.0000 0.0000 4.8525 0.0000 0.0000 0.0000 5.0106" Properties=species:S:1:pos:R:3 pbc="T T T"
K 0.0000 0.0000 0.0000
Mg 2.4262 2.4262 0.0000
Zn 0.0000 2.4262 2.5053
Zn 2.4262 0.0000 2.5053
Cu 2.4262 2.4262 2.5053
```

Properties
- Space group: P4/mmm, No. 123
- Formation energy: 112 meV/atom
- E_tot: -1.755 eV per atom